{
  "formula": "ScCuBr2",
  "functional": "PBEsol",
  "state": "relaxed",
  "formation_energy_uncorrected_ev_per_atom": -0.377,
  "dft_energy_ev_per_atom": -4.0467,
  "lattice_angstrom": [[3.8113, 0.0000, 0.0000], [0.0000, 3.7468, 0.0000], [0.0000, 0.0000, 5.4111]],
  "species": ["Br", "Br", "Sc", "Cu"],
  "fractional_positions": [[0.0000, 0.0000, 0.0000], [0.5000, 0.0000, 0.5000], [0.0000, 0.5000, 0.5000], [0.5000, 0.5000, 0.0000]]
}